Material: ZnCrPO2
Method: DFT, PBE+U
State: optimized geometry

Output
energy relative to the lowest polymorph listed for this composition = 0.0 meV per atom
DOS at the Fermi energy = 2.3 states/eV/cell
mass density = 4.26 g/cm³
volume = 14.1 Å³/atom

a b c (Å): 3.6404 3.6404 5.3034
angles (deg): 90.00 90.00 90.00
Element x y z (fractional)
Zn 0.0000 0.0000 0.0000
Cr 0.5000 0.5000 0.5000
P 0.5000 0.5000 0.0000
O 0.0000 0.5000 0.5000
O 0.5000 0.0000 0.5000